Entry 1:
YMnSe2 | PBE | relaxed

The calculation puts the size of the total moment at 4.0 μB/f.u. The value obtained for the formation energy from raw total energies is -0.884 eV per atom. The space group is Immm, No. 71.

a b c (Å): 5.0144 5.0144 5.0144
angles (deg): 129.97 114.06 87.13
With the nearest neighbours (Å) after each atom.
Sites, in units of the cell vectors:
Mn1 0.2500 0.7500 0.5000  4 Se 2.65
Se1 0.0306 0.0306 0.0000  2 Mn 2.65, 2 Y 2.94
Se2 0.4694 0.4694 0.0000  2 Mn 2.65, 2 Y 2.94
Y1 0.7500 0.2500 0.5000  8 Se 2.94-3.16

***

Entry 2:
Ac2Nd3Sm | PBE | relaxed

The calculation puts the size of the total moment at 0.0 μB/f.u. For the formation energy, the calculation gives 0.246 eV/atom. The value obtained for the polymorph energy (0 for the lowest one) is 215 meV/atom. The space group is Pnnm, No. 58.

a b c (Å): 3.6379 6.8734 18.8201
angles (deg): 90.00 90.00 90.00
With the nearest neighbours (Å) after each atom.
Sites, in units of the cell vectors:
Ac1 0.0000 0.2218 0.3115  4 Nd 3.54-3.72, 2 Ac 3.64, 1 Sm 3.86
Ac2 0.5000 0.7218 0.1885  4 Nd 3.54-3.72, 2 Ac 3.64, 1 Sm 3.86
Ac3 0.0000 0.7782 0.6885  4 Nd 3.54-3.72, 2 Ac 3.64, 1 Sm 3.86
Ac4 0.5000 0.2782 0.8115  4 Nd 3.54-3.72, 2 Ac 3.64, 1 Sm 3.86
Nd1 0.5000 0.2191 0.1389  1 Sm 3.25, 4 Nd 3.52-3.64, 2 Ac 3.54-3.58
Nd2 0.5000 0.5000 0.5000  6 Nd 3.52-3.64, 4 Sm 3.89
Nd3 0.5000 0.7809 0.8611  1 Sm 3.25, 4 Nd 3.52-3.64, 2 Ac 3.54-3.58
Nd4 0.0000 0.2809 0.6389  1 Sm 3.25, 4 Nd 3.52-3.64, 2 Ac 3.54-3.58
Nd5 0.0000 0.7191 0.3611  1 Sm 3.25, 4 Nd 3.52-3.64, 2 Ac 3.54-3.58
Nd6 0.0000 0.0000 0.0000  6 Nd 3.52-3.64, 4 Sm 3.89
Sm1 0.0000 0.0000 0.5000  2 Nd 3.25, 2 Sm 3.64
Sm2 0.5000 0.5000 0.0000  2 Nd 3.25, 2 Sm 3.64

***

Entry 3:
Sr2LaCd3 | PBE | relaxed

The calculation puts the size of the total moment at 0.2 μB/f.u. For the formation energy, the calculation gives -0.333 eV/atom. The value obtained for the polymorph energy (0 for the lowest one) is 0 meV/atom. The space group is P4/mmm, No. 123.

a b c (Å): 4.0022 4.0022 12.1400
angles (deg): 90.00 90.00 90.00
With the nearest neighbours (Å) after each atom.
Sites, in units of the cell vectors:
Sr1 0.5000 0.5000 0.1696  8 Cd 3.50-3.54
Sr2 0.5000 0.5000 0.8304  8 Cd 3.50-3.54
Cd1 0.0000 0.0000 0.3445  4 La 3.40, 4 Sr 3.54, 1 Cd 3.78
Cd2 0.0000 0.0000 0.6555  4 La 3.40, 4 Sr 3.54, 1 Cd 3.78
Cd3 0.0000 0.0000 0.0000  8 Sr 3.50
La1 0.5000 0.5000 0.5000  8 Cd 3.40

***

Entry 4:
Co2ReAu | PBE | relaxed

The calculation puts the size of the total moment at 2.1 μB/f.u. For the formation energy, the calculation gives 0.380 eV/atom. The value obtained for the polymorph energy (0 for the lowest one) is 228 meV/atom. The space group is Fm-3m, No. 225.

a b c (Å): 4.2297 4.2297 4.2297
angles (deg): 60.00 60.00 60.00
With the nearest neighbours (Å) after each atom.
Sites, in units of the cell vectors:
Co1 0.2500 0.2500 0.2500  4 Au 2.59, 4 Re 2.59
Co2 0.7500 0.7500 0.7500  4 Au 2.59, 4 Re 2.59
Au1 0.5000 0.5000 0.5000  8 Co 2.59
Re1 0.0000 0.0000 0.0000  8 Co 2.59

***

Entry 5:
Ba6Bi3N | PBE | relaxed

The calculation puts the size of the total moment at 0.0 μB/f.u. The value obtained for the formation energy from raw total energies is -0.750 eV per atom. The space group is P2_1/c, No. 14.

a b c (Å): 8.1715 8.8915 11.8854
angles (deg): 90.00 90.02 90.00
With the nearest neighbours (Å) after each atom.
Sites, in units of the cell vectors:
Ba1 0.3382 0.7859 0.4377  1 N 2.96
Ba2 0.6122 0.4531 0.2765  1 N 2.84
Ba3 0.7852 0.6671 0.5526  1 N 2.83
Ba4 0.1618 0.2859 0.0623  1 N 2.96
Ba5 0.2148 0.3329 0.4474  1 N 2.83
Ba6 0.3878 0.5469 0.7235  1 N 2.84
Ba7 0.1122 0.0469 0.7765  1 N 2.84
Ba8 0.6618 0.2141 0.5623  1 N 2.96
Ba9 0.7148 0.1671 0.9474  1 N 2.83
Ba10 0.8382 0.7141 0.9377  1 N 2.96
Ba11 0.2852 0.8329 0.0526  1 N 2.83
Ba12 0.8878 0.9531 0.2235  1 N 2.84
N1 0.0000 0.0000 0.0000  6 Ba 2.83-2.96
N2 0.5000 0.5000 0.5000  6 Ba 2.83-2.96
Bi1 0.9722 0.4222 0.7491  6 Ba 3.54-3.89
Bi2 0.5000 0.5000 0.0000  6 Ba 3.44-3.50
Bi3 0.0000 0.0000 0.5000  6 Ba 3.44-3.50
Bi4 0.5278 0.9222 0.7509  6 Ba 3.54-3.89
Bi5 0.4722 0.0778 0.2491  6 Ba 3.54-3.89
Bi6 0.0278 0.5778 0.2509  6 Ba 3.54-3.89

***

Entry 6:
RbCd2Sn | PBE | relaxed

The calculation puts the size of the total moment at 0.0 μB/f.u. For the formation energy, the calculation gives -0.046 eV/atom. The space group is P4/nmm, No. 129.

a b c (Å): 4.8580 4.8580 11.6346
angles (deg): 90.00 90.00 90.00
With the nearest neighbours (Å) after each atom.
Sites, in units of the cell vectors:
Cd1 0.5000 0.5000 0.5000  4 Sn 2.98
Cd2 0.0000 0.0000 0.5000  4 Sn 2.98
Cd3 0.0000 0.5000 0.0749  1 Sn 3.23, 1 Rb 3.61
Cd4 0.5000 0.0000 0.9251  1 Sn 3.23, 1 Rb 3.61
Rb1 0.5000 0.0000 0.2353  9 Cd 3.61-3.92, 4 Sn 3.69
Rb2 0.0000 0.5000 0.7647  9 Cd 3.61-3.92, 4 Sn 3.69
Sn1 0.0000 0.5000 0.3523  5 Cd 2.98-3.23
Sn2 0.5000 0.0000 0.6477  5 Cd 2.98-3.23